A relaxed structure of TbSm2Tm2Th2. Source: Alexandria via LeMat-Bulk, functional PBE.

Properties
As for the density of states at the Fermi level: 11.21 states/eV per cell. The crystal system is monoclinic. The calculation puts the formation energy at 0.167 eV per atom.

Cell lengths 3.467, 8.998, 8.443 Å; angles 115.94, 90.00, 101.11 degrees
Fractional positions:
Tb1 0.000 0.000 0.500
Sm1 0.576 0.152 0.913
Sm2 0.424 0.848 0.087
Tm1 0.647 0.295 0.393
Tm2 0.353 0.705 0.607
Th1 0.218 0.437 0.799
Th2 0.782 0.563 0.201